Record 1
A plane-wave DFT calculation with PBE was carried out for a relaxed Ce2Tm2Ni15 crystal.

a = 8.4675 Å, b = 8.4675 Å, c = 12.6551 Å
α = 90.00°, β = 90.00°, γ = 120.00°
Space group R-3m (No. 166, hexagonal axes)
Symmetry-distinct sites (fractional):
Ce 0.0000 0.0000 0.1086 (multiplicity 6)
Tm 0.0000 0.0000 0.3645 (multiplicity 6)
Ni 0.0000 0.3215 0.0000 (multiplicity 18)
Ni 0.0000 0.5000 0.5000 (multiplicity 9)
Ni 0.0104 0.5052 0.1596 (multiplicity 18)

Output
Volume   785.8 Å³ per cell
Total magnetization   0.00 μB per formula unit
Formation energy from the elements   -0.279 eV/atom

---

Record 2
A plane-wave DFT calculation with PBE was carried out for a relaxed TbDy5Ho2Er crystal.

a = 5.554 Å, b = 19.756 Å, c = 10.515 Å
α = 90.00°, β = 90.00°, γ = 90.00°
Space group Cmc2_1 (No. 36)
Symmetry-distinct sites (fractional):
Tb 0.000 0.200 0.000 (multiplicity 4)
Dy 0.000 0.018 0.013 (multiplicity 4)
Dy 0.000 0.281 0.297 (multiplicity 4)
Dy 0.000 0.300 0.697 (multiplicity 4)
Dy 0.000 0.390 0.012 (multiplicity 4)
Dy 0.000 0.480 0.728 (multiplicity 4)
Ho 0.000 0.110 0.727 (multiplicity 4)
Ho 0.000 0.114 0.307 (multiplicity 4)
Er 0.000 0.413 0.446 (multiplicity 4)

Output
Volume   1153.8 Å³ per cell
Total magnetization   0.00 μB per formula unit
Formation energy from the elements   0.154 eV/atom

---

Record 3
A plane-wave DFT calculation with PBE was carried out for a relaxed LaSc2Bi2 crystal.

a = 8.490 Å, b = 8.490 Å, c = 3.848 Å
α = 90.00°, β = 90.00°, γ = 90.00°
Space group P4/mbm (No. 127)
Symmetry-distinct sites (fractional):
La 0.000 0.000 0.000 (multiplicity 2)
Sc 0.124 0.376 0.000 (multiplicity 4)
Bi 0.172 0.672 0.500 (multiplicity 4)

Output
Volume   277.4 Å³ per cell
E above lowest polymorph   140 meV per atom
Total magnetization   2.42 μB per formula unit
Formation energy from the elements   -0.463 eV/atom

---

Record 4
A plane-wave DFT calculation with PBE was carried out for a relaxed Er4HgRu2Au crystal.

a = 4.9489 Å, b = 4.9489 Å, c = 24.1848 Å
α = 90.00°, β = 90.00°, γ = 120.00°
Space group R-3m (No. 166, hexagonal axes)
Symmetry-distinct sites (fractional):
Er 0.0000 0.0000 0.1230 (multiplicity 6)
Er 0.0000 0.0000 0.3730 (multiplicity 6)
Hg 0.0000 0.0000 0.5000 (multiplicity 3)
Ru 0.0000 0.0000 0.2497 (multiplicity 6)
Au 0.0000 0.0000 0.0000 (multiplicity 3)

Output
Volume   513.0 Å³ per cell
Total magnetization   0.00 μB per formula unit
Formation energy from the elements   -0.507 eV/atom

---

Record 5
A plane-wave DFT calculation with PBE was carried out for a relaxed MgV3Se crystal.

a = 4.560 Å, b = 4.560 Å, c = 4.560 Å
α = 90.00°, β = 90.00°, γ = 90.00°
Space group Pm-3m (No. 221)
Symmetry-distinct sites (fractional):
Mg 0.000 0.000 0.000 (multiplicity 1)
V 0.000 0.500 0.500 (multiplicity 3)
Se 0.500 0.500 0.500 (multiplicity 1)

Output
Raw formation energy   0.52 eV per atom
Volume   94.8 Å³ per cell
E above lowest polymorph   0 meV per atom
Total magnetization   3.69 μB per formula unit

---

Record 6
A plane-wave DFT calculation with PBE was carried out for a relaxed La2MnZn crystal.

a = 3.759 Å, b = 4.698 Å, c = 6.302 Å
α = 90.00°, β = 107.17°, γ = 90.00°
Space group Pm (No. 6)
Symmetry-distinct sites (fractional):
La 0.000 0.000 0.000 (multiplicity 1)
La 0.293 0.500 0.589 (multiplicity 1)
Mn 0.587 0.500 0.174 (multiplicity 1)
Zn 0.708 0.000 0.420 (multiplicity 1)

Output
Volume   106.3 Å³ per cell
Total magnetization   2.60 μB per formula unit
Formation energy from the elements   0.004 eV/atom

---

Record 7
A plane-wave DFT calculation with PBE was carried out for a relaxed SrCu2Pt crystal.

a = 3.061 Å, b = 3.602 Å, c = 6.751 Å
α = 90.00°, β = 90.00°, γ = 90.00°
Space group Pmm2 (No. 25)
Symmetry-distinct sites (fractional):
Sr 0.000 0.000 0.000 (multiplicity 1)
Cu 0.000 0.000 0.500 (multiplicity 1)
Cu 0.500 0.500 0.329 (multiplicity 1)
Pt 0.500 0.500 0.703 (multiplicity 1)

Output
Volume   74.4 Å³ per cell
E above lowest polymorph   302 meV per atom
Total magnetization   0.00 μB per formula unit
Formation energy from the elements   -0.071 eV/atom

---

Record 8
A plane-wave DFT calculation with PBE was carried out for a relaxed K2Rb8Hg crystal.

a = 25.372 Å, b = 7.515 Å, c = 9.621 Å
α = 90.00°, β = 110.44°, γ = 90.00°
Space group C2/m (No. 12)
Symmetry-distinct sites (fractional):
K 0.184 0.000 0.225 (multiplicity 4)
Rb 0.009 0.000 0.281 (multiplicity 4)
Rb 0.092 0.500 0.912 (multiplicity 4)
Rb 0.135 0.500 0.440 (multiplicity 4)
Rb 0.199 0.000 0.766 (multiplicity 4)
Hg 0.000 0.500 0.500 (multiplicity 2)

Output
Volume   1719.1 Å³ per cell
E above lowest polymorph   4 meV per atom
Total magnetization   0.00 μB per formula unit
Formation energy from the elements   -0.022 eV/atom

---

Record 9
A plane-wave DFT calculation with PBE was carried out for a relaxed Ac4Se3O2 crystal.

a = 13.560 Å, b = 10.591 Å, c = 6.931 Å
α = 90.00°, β = 90.98°, γ = 90.00°
Space group C2/c (No. 15)
Symmetry-distinct sites (fractional):
Ac 0.116 0.179 0.025 (multiplicity 8)
Ac 0.159 0.424 0.578 (multiplicity 8)
Se 0.000 0.392 0.250 (multiplicity 4)
Se 0.119 0.126 0.535 (multiplicity 8)
O 0.207 0.372 0.914 (multiplicity 8)

Output
Raw formation energy   -2.42 eV per atom
Volume   995.2 Å³ per cell
E above lowest polymorph   32 meV per atom
Total magnetization   0.00 μB per formula unit

---

Record 10
A plane-wave DFT calculation with PBE was carried out for a relaxed RbCu2AsI8 crystal.

a = 11.879 Å, b = 8.088 Å, c = 10.656 Å
α = 90.00°, β = 111.79°, γ = 90.00°
Space group C2/m (No. 12)
Symmetry-distinct sites (fractional):
Rb 0.000 0.000 0.000 (multiplicity 2)
Cu 0.079 0.500 0.313 (multiplicity 4)
As 0.000 0.000 0.500 (multiplicity 2)
I 0.071 0.246 0.717 (multiplicity 8)
I 0.130 0.500 0.099 (multiplicity 4)
I 0.235 0.000 0.472 (multiplicity 4)

Output
Raw formation energy   -0.31 eV per atom
Volume   950.6 Å³ per cell
Total magnetization   0.00 μB per formula unit

---

Record 11
A plane-wave DFT calculation with PBE was carried out for a relaxed Sc6BiRu2 crystal.

a = 8.900 Å, b = 9.041 Å, c = 9.830 Å
α = 90.00°, β = 90.00°, γ = 90.00°
Space group Immm (No. 71)
Symmetry-distinct sites (fractional):
Sc 0.000 0.218 0.239 (multiplicity 8)
Sc 0.191 0.500 0.170 (multiplicity 8)
Sc 0.211 0.315 0.500 (multiplicity 8)
Bi 0.000 0.000 0.000 (multiplicity 2)
Bi 0.000 0.000 0.500 (multiplicity 2)
Ru 0.000 0.335 0.000 (multiplicity 4)
Ru 0.000 0.500 0.367 (multiplicity 4)

Output
Volume   790.9 Å³ per cell
Total magnetization   0.00 μB per formula unit
Formation energy from the elements   -0.450 eV/atom

---

Record 12
A plane-wave DFT calculation with PBE was carried out for a relaxed LiPaMn2S6 crystal.

a = 6.3608 Å, b = 6.3608 Å, c = 17.1425 Å
α = 90.00°, β = 90.00°, γ = 120.00°
Space group R3 (No. 146, hexagonal axes)
Symmetry-distinct sites (fractional):
Li 0.0000 0.0000 0.0000 (multiplicity 3)
Pa 0.0000 0.0000 0.4936 (multiplicity 3)
Mn 0.0000 0.0000 0.3002 (multiplicity 3)
Mn 0.0000 0.0000 0.8046 (multiplicity 3)
S 0.0015 0.3774 0.0585 (multiplicity 9)
S 0.0145 0.6294 0.5591 (multiplicity 9)

Output
Raw formation energy   -0.96 eV per atom
Volume   600.6 Å³ per cell
Total magnetization   8.04 μB per formula unit